1.
Compound: MgHgSO
Source: OQMD
Functional: PBE-GGA
Structure: relaxed

Properties
ρ = 6.4 g/cm3
DFT total energy = -62.80 eV per cell

Unit cell a=6.2276 b=8.0131 c=5.7129 alpha=90.00 beta=90.00 gamma=90.00
Fractional positions:
Mg (0.1164, 0.0708, 0.0000)
Mg (0.3836, 0.0708, 0.5000)
Mg (0.6164, 0.9292, 0.0000)
Mg (0.8836, 0.9292, 0.5000)
Hg (0.0378, 0.6577, 0.0934)
Hg (0.4622, 0.6577, 0.5934)
Hg (0.5378, 0.3423, 0.0934)
Hg (0.9622, 0.3423, 0.5934)
S (0.0417, 0.6561, 0.6289)
S (0.4583, 0.6561, 0.1289)
S (0.5417, 0.3439, 0.6289)
S (0.9583, 0.3439, 0.1289)
O (0.1014, 0.0702, 0.6550)
O (0.3986, 0.0702, 0.1550)
O (0.6014, 0.9298, 0.6550)
O (0.8986, 0.9298, 0.1550)

2.
Compound: ErGaO3
Source: OQMD
Functional: PBE-GGA
Structure: relaxed

Properties
ρ = 8.0 g/cm3
Total magnetization = 0.0 μB/f.u.
DFT total energy = -71.33 eV per cell

Unit cell a=5.6746 b=5.6746 c=5.6746 alpha=56.17 beta=56.17 gamma=56.17
Fractional positions:
Er (0.1355, 0.1355, 0.1355)
Er (0.8645, 0.8645, 0.8645)
Ga (0.3498, 0.3498, 0.3498)
Ga (0.6502, 0.6502, 0.6502)
O (0.0582, 0.4642, 0.7129)
O (0.2871, 0.9418, 0.5358)
O (0.4642, 0.7129, 0.0582)
O (0.5358, 0.2871, 0.9418)
O (0.7129, 0.0582, 0.4642)
O (0.9418, 0.5358, 0.2871)

3.
Compound: LiYCuB
Source: OQMD
Functional: PBE-GGA
Structure: relaxed

Properties
ρ = 5.1 g/cm3
Total magnetization = 0.0 μB/f.u.
DFT total energy = -18.48 eV per cell

Unit cell a=4.2733 b=4.2733 c=4.2733 alpha=60.00 beta=60.00 gamma=60.00
Fractional positions:
Li (0.0000, 0.0000, 0.0000)
Y (0.2500, 0.2500, 0.2500)
Cu (0.7500, 0.7500, 0.7500)
B (0.5000, 0.5000, 0.5000)

4.
Compound: LiLuPO
Source: OQMD
Functional: PBE-GGA
Structure: relaxed

Properties
ρ = 5.5 g/cm3
Total magnetization = 0.0 μB/f.u.
DFT total energy = -47.37 eV per cell

Unit cell a=3.4504 b=7.1423 c=5.6133 alpha=90.00 beta=90.00 gamma=90.00
Fractional positions:
Li (0.0000, 0.0784, 0.0000)
Li (0.0000, 0.9216, 0.5000)
Lu (0.5000, 0.3023, 0.3674)
Lu (0.5000, 0.6977, 0.8674)
P (0.5000, 0.3203, 0.8609)
P (0.5000, 0.6797, 0.3609)
O (0.0000, 0.1485, 0.3326)
O (0.0000, 0.8515, 0.8326)

5.
Compound: Dy3Zn3PdAu2
Source: OQMD
Functional: PBE-GGA
Structure: relaxed

Properties
Formation energy = -0.71 eV per atom
ρ = 10.7 g/cm3
Total magnetization = 0.0 μB/f.u.

Unit cell a=7.4019 b=7.4019 c=3.8863 alpha=90.00 beta=90.00 gamma=120.00
Fractional positions:
Dy (0.0000, 0.5997, 0.0000)
Dy (0.4003, 0.4003, 0.0000)
Dy (0.5997, 0.0000, 0.0000)
Zn (0.0000, 0.2459, 0.5000)
Zn (0.2459, 0.0000, 0.5000)
Zn (0.7541, 0.7541, 0.5000)
Pd (0.0000, 0.0000, 0.0000)
Au (0.3333, 0.6667, 0.5000)
Au (0.6667, 0.3333, 0.5000)

6.
Compound: BiIrCl6
Source: OQMD
Functional: PBE-GGA
Structure: relaxed

Properties
ρ = 4.6 g/cm3
Total magnetization = 0.0 μB/f.u.
DFT total energy = -29.63 eV per cell

Unit cell a=6.5645 b=6.5645 c=6.3718 alpha=99.98 beta=99.98 gamma=119.86
Fractional positions:
Bi (0.0000, 0.0000, 0.0000)
Ir (0.6666, 0.3334, 0.0000)
Cl (0.0359, 0.4128, 0.2370)
Cl (0.2979, 0.2561, 0.7642)
Cl (0.4532, 0.1174, 0.2313)
Cl (0.5872, 0.9641, 0.7630)
Cl (0.7439, 0.7021, 0.2358)
Cl (0.8826, 0.5468, 0.7687)